1.
## KFe2Mo2O10 (PBE+U)

Data for a relaxed structure of KFe2Mo2O10.

a = 5.848 Å, b = 5.848 Å, c = 8.788 Å
α = 109.86°, β = 109.86°, γ = 61.56°
Atoms (fractional coordinates):
K: 0.000 0.000 0.000
Fe: 0.000 0.500 0.500
Fe: 0.500 0.000 0.500
Mo: 0.439 0.439 0.258
Mo: 0.561 0.561 0.742
O: 0.187 0.187 0.579
O: 0.206 0.687 0.713
O: 0.313 0.794 0.287
O: 0.314 0.314 0.054
O: 0.338 0.338 0.400
O: 0.662 0.662 0.600
O: 0.686 0.686 0.946
O: 0.687 0.206 0.713
O: 0.794 0.313 0.287
O: 0.813 0.813 0.421

Results
crystal system: monoclinic

2.
## KFeMo2O8 (PBE+U)

Data for a relaxed structure of KFeMo2O8.

a = 5.776 Å, b = 5.776 Å, c = 7.319 Å
α = 90.00°, β = 90.00°, γ = 120.00°
Atoms (fractional coordinates):
K: 0.000 0.000 0.000
Fe: 0.000 0.000 0.500
Mo: 0.333 0.667 0.740
Mo: 0.667 0.333 0.260
O: 0.161 0.322 0.665
O: 0.161 0.839 0.665
O: 0.322 0.161 0.335
O: 0.333 0.667 0.979
O: 0.667 0.333 0.021
O: 0.678 0.839 0.665
O: 0.839 0.161 0.335
O: 0.839 0.678 0.335

Results
crystal system: trigonal

| no. | final energy (eV for the cell shown) |
| --- | --- |
| 1 | -97.82 |
| 2 | -80.80 |